Dy2CO5 | PBE | relaxed

abc: 15.2043 6.6405 3.9249
angles: 90.00 90.00 90.00
With the nearest neighbours (Å) after each atom.
Space group Ama2 (No. 40)
One atom of each set of equivalent atoms:
Dy1 0.0929 0.1673 0.0000 x8  7 O 2.28-2.53
C1 0.2500 0.0354 0.6141 x4  3 O 1.28-1.30
O1 0.0573 0.3315 0.4976 x8  4 Dy 2.28-2.32
O2 0.1741 0.4923 0.9785 x8  1 C 1.30
O3 0.2500 0.1264 0.9015 x4  1 C 1.28

The density of states at the Fermi level is 0.00 states/eV per cell. The calculation puts the uncorrected formation energy at -22.61 eV/f.u. As for the energy relative to the lowest polymorph listed for this composition: 0.02 eV/f.u. The energy comes out at -263.33 eV per cell.

=====

Dy6C2O | PBE | relaxed

abc: 6.1668 6.1668 17.9428
angles: 90.00 90.00 120.00
With the nearest neighbours (Å) after each atom.
Space group R-3 (No. 148, hexagonal axes)
One atom of each set of equivalent atoms:
Dy1 0.0116 0.3597 0.0802 x18  2 C 2.45-2.48, 1 O 2.48
C1 0.0000 0.0000 0.3275 x6  6 Dy 2.45-2.48
O1 0.0000 0.0000 0.5000 x3  6 Dy 2.48

The density of states at the Fermi level is 22.33 states/eV per cell. The calculation puts the uncorrected formation energy at -6.84 eV/f.u. The energy comes out at -173.56 eV per cell.

=====

Rb2DyC2O6 | PBE | relaxed

abc: 5.5003 5.5003 8.4616
angles: 90.00 90.00 120.00
With the nearest neighbours (Å) after each atom.
Space group P-3m1 (No. 164)
One atom of each set of equivalent atoms:
Rb1 0.3333 0.6667 0.3085 x2  6 O 3.08
Dy1 0.0000 0.0000 0.0000 x1  6 O 2.25
C1 0.3333 0.6667 0.8566 x2  3 O 1.30
O1 0.1971 0.3942 0.8530 x6  1 C 1.30

The density of states at the Fermi level is 1.86 states/eV per cell. The calculation puts the uncorrected formation energy at -21.02 eV/f.u. The energy comes out at -75.75 eV per cell.

=====

Dy8C3S3O | PBE | relaxed

abc: 7.3513 7.3513 18.7422
angles: 90.00 90.00 120.00
With the nearest neighbours (Å) after each atom.
Space group R-3m (No. 166, hexagonal axes)
One atom of each set of equivalent atoms:
Dy1 0.0000 0.0000 0.2387 x6  3 C 2.52, 3 S 2.77
Dy2 0.0082 0.5041 0.7615 x18  2 C 2.49, 1 O 2.56, 2 S 2.79
C1 0.0000 0.5000 0.5000 x9  6 Dy 2.49-2.52
S1 0.0000 0.5000 0.0000 x9  6 Dy 2.77-2.79
O1 0.0000 0.0000 0.5000 x3  6 Dy 2.56

The density of states at the Fermi level is 16.31 states/eV per cell. The calculation puts the uncorrected formation energy at -21.10 eV/f.u. The energy comes out at -308.79 eV per cell.

=====

> What is the energy in the fourth record?

-308.79 eV per cell

=====

> The highest energy belongs to which entry?

Rb2DyC2O6

=====

> Look up the energy of the third one.

-75.75 eV per cell